# Li2LaNi | Alexandria via LeMat-Bulk | PBE-GGA | optimized geometry
# Final energy = -3.69 eV per atom
# Energy relative to the lowest polymorph listed for this composition = 0.0 meV/atom
# Energy of formation = -21.8 kJ/mol of formula units
data_Li2LaNi
_chemical_formula_sum 'Li4 La2 Ni2'
_symmetry_space_group_name_H-M 'P 1 21/m 1'
_symmetry_Int_Tables_number 11
_symmetry_space_group_name_Hall '-P 2yb'
_cell_length_a 3.864
_cell_length_b 8.645
_cell_length_c 5.294
_cell_angle_alpha 90.00
_cell_angle_beta 111.06
_cell_angle_gamma 90.00
loop_
_atom_site_label
_atom_site_type_symbol
_atom_site_fract_x
_atom_site_fract_y
_atom_site_fract_z
_atom_site_occupancy
Li1 Li 0.167 0.054 0.333 1
La1 La 0.441 0.250 0.886 1
Ni1 Ni 0.260 0.750 0.521 1